The following is a PBE calculation of crystalline BeBi2TePt at its relaxed geometry, from Alexandria via LeMat-Bulk.

a = 5.452 Å, b = 5.452 Å, c = 5.312 Å
α = 90.00°, β = 90.00°, γ = 90.00°
Fractional coordinates of all 5 atoms:
Be: 0.000 0.000 0.000
Bi: 0.000 0.500 0.500
Bi: 0.500 0.000 0.500
Te: 0.500 0.500 0.000
Pt: 0.500 0.500 0.500

Its total energy is -16.4 eV/f.u. The value obtained for the uncorrected formation energy is 4.23 eV per formula unit. For the density of states at the Fermi level, the calculation gives 5.1 states/eV per cell.


The following is a PBE calculation of crystalline Ca2ErPb3 at its relaxed geometry, from Alexandria via LeMat-Bulk.

a = 8.069 Å, b = 8.069 Å, c = 9.051 Å
α = 90.00°, β = 90.00°, γ = 143.43°
Fractional coordinates of all 12 atoms:
Ca: 0.000 0.000 0.000
Ca: 0.000 0.000 0.500
Ca: 0.335 0.665 0.000
Ca: 0.665 0.335 0.000
Er: 0.334 0.666 0.500
Er: 0.666 0.334 0.500
Pb: 0.169 0.831 0.256
Pb: 0.169 0.831 0.744
Pb: 0.500 0.500 0.255
Pb: 0.500 0.500 0.745
Pb: 0.831 0.169 0.256
Pb: 0.831 0.169 0.744

As for the calculated formation energy: -2.85 eV per formula unit. Its total energy is -22.5 eV/f.u. For the density of states at the Fermi level, the calculation gives 6.3 states/eV per cell.